Material: AcFe2SnO6
Method: DFT, PBE+U
State: relaxed

ρ	7.2	g/cm³
calculated total energy	-67.11	eV/cell

Cell and atoms, written as CIF:
```
data_AcFe2SnO6
_space_group_name_H-M_alt 'P 1'
_space_group_IT_number 1
_space_group_name_Hall 'P 1'
_cell_length_a 5.440
_cell_length_b 5.442
_cell_length_c 5.828
_cell_angle_alpha 91.02
_cell_angle_beta 116.86
_cell_angle_gamma 119.80
loop_
_atom_site_label
_atom_site_type_symbol
_atom_site_fract_x
_atom_site_fract_y
_atom_site_fract_z
Ac1 Ac 0.000 0.000 0.000
Fe1 Fe 0.515 0.255 0.781
Fe2 Fe 0.553 0.777 0.332
Sn1 Sn 0.934 0.468 0.407
O1 O 0.020 0.157 0.574
O2 O 0.071 0.473 0.117
O3 O 0.411 0.871 0.581
O4 O 0.512 0.042 0.120
O5 O 0.641 0.592 0.111
O6 O 0.695 0.547 0.572
```